Entry A
# Zr4Rh5

A relaxed Zr4Rh5 crystal (PBE, the Alexandria database).

Results
The space-group type is P6_3/mcm (193). For the density of states at the Fermi level, the calculation gives 0.489 states/eV/atom.

abc: 8.037 8.037 5.650
angles: 90.00 90.00 120.00
Fractional positions:
Zr1 0.000 0.000 0.000
Zr2 0.000 0.000 0.500
Zr3 0.000 0.370 0.250
Zr4 0.000 0.630 0.750
Zr5 0.370 0.000 0.250
Zr6 0.370 0.370 0.750
Zr7 0.630 0.000 0.750
Zr8 0.630 0.630 0.250
Rh1 0.000 0.306 0.750
Rh2 0.000 0.694 0.250
Rh3 0.306 0.000 0.750
Rh4 0.306 0.306 0.250
Rh5 0.333 0.667 0.000
Rh6 0.333 0.667 0.500
Rh7 0.667 0.333 0.000
Rh8 0.667 0.333 0.500
Rh9 0.694 0.000 0.250
Rh10 0.694 0.694 0.750

---

Entry B
# Zr4Rh5

A relaxed Zr4Rh5 crystal (PBE, the Alexandria database).

Results
The space-group type is I4/mmm (139). For the density of states at the Fermi level, the calculation gives 0.743 states/eV/atom.

abc: 6.568 6.568 6.568
angles: 95.49 95.49 143.98
Fractional positions:
Zr1 0.000 0.299 0.299
Zr2 0.000 0.701 0.701
Zr3 0.299 0.000 0.299
Zr4 0.701 0.000 0.701
Rh1 0.000 0.000 0.000
Rh2 0.335 0.335 0.670
Rh3 0.335 0.665 0.000
Rh4 0.665 0.335 0.000
Rh5 0.665 0.665 0.330

---

Stability ranking, top and bottom: entry B is the most stable and entry A is the least stable.

---

Entry A
# RuS4

A relaxed RuS4 crystal (PBE, the Alexandria database).

Results
The space-group type is Pm-3m (221). For the density of states at the Fermi level, the calculation gives 1.095 states/eV/atom.

abc: 4.579 4.579 4.579
angles: 90.00 90.00 90.00
Fractional positions:
Ru1 0.000 0.000 0.000
S1 0.000 0.000 0.500
S2 0.000 0.500 0.000
S3 0.500 0.000 0.000
S4 0.500 0.500 0.500

---

Entry B
# RuS4

A relaxed RuS4 crystal (PBE, the Alexandria database).

Results
The space-group type is P2_1/c (14). For the density of states at the Fermi level, the calculation gives 0.862 states/eV/atom.

abc: 6.862 4.718 6.629
angles: 90.00 98.10 90.00
Fractional positions:
Ru1 0.000 0.000 0.000
Ru2 0.000 0.500 0.500
S1 0.172 0.166 0.738
S2 0.172 0.334 0.238
S3 0.251 0.672 0.074
S4 0.251 0.828 0.574
S5 0.749 0.172 0.426
S6 0.749 0.328 0.926
S7 0.828 0.666 0.762
S8 0.828 0.834 0.262

---

Stability ranking, top and bottom: entry B is the most stable and entry A is the least stable.

---

Entry A
# Sb3RuS

A relaxed Sb3RuS crystal (PBE, the Alexandria database).

Results
The space-group type is Pm-3m (221). For the density of states at the Fermi level, the calculation gives 1.065 states/eV/atom.

abc: 5.052 5.052 5.052
angles: 90.00 90.00 90.00
Fractional positions:
Sb1 0.000 0.000 0.500
Sb2 0.000 0.500 0.000
Sb3 0.500 0.000 0.000
Ru1 0.500 0.500 0.500
S1 0.000 0.000 0.000

---

Entry B
# Sb3RuS

A relaxed Sb3RuS crystal (PBE, the Alexandria database).

Results
The space-group type is Pm-3m (221). For the density of states at the Fermi level, the calculation gives 1.028 states/eV/atom.

abc: 5.094 5.094 5.094
angles: 90.00 90.00 90.00
Fractional positions:
Sb1 0.000 0.000 0.500
Sb2 0.000 0.500 0.000
Sb3 0.500 0.000 0.000
Ru1 0.000 0.000 0.000
S1 0.500 0.500 0.500

---

Stability ranking, top and bottom: entry B is the most stable and entry A is the least stable.

---

Entry A
# SbRu2S

A relaxed SbRu2S crystal (PBE, the Alexandria database).

Results
The space-group type is I-42d (122). For the density of states at the Fermi level, the calculation gives 0.518 states/eV/atom.

abc: 5.421 5.421 11.425
angles: 90.00 90.00 90.00
Fractional positions:
Sb1 0.000 0.000 0.000
Sb2 0.000 0.500 0.250
Sb3 0.500 0.000 0.750
Sb4 0.500 0.500 0.500
Ru1 0.189 0.250 0.625
Ru2 0.250 0.689 0.875
Ru3 0.250 0.811 0.375
Ru4 0.311 0.250 0.125
Ru5 0.689 0.750 0.125
Ru6 0.750 0.189 0.375
Ru7 0.750 0.311 0.875
Ru8 0.811 0.750 0.625
S1 0.000 0.000 0.500
S2 0.000 0.500 0.750
S3 0.500 0.000 0.250
S4 0.500 0.500 0.000

---

Entry B
# SbRu2S

A relaxed SbRu2S crystal (PBE, the Alexandria database).

Results
The space-group type is Fm-3m (225). For the density of states at the Fermi level, the calculation gives 1.386 states/eV/atom.

abc: 6.313 6.313 6.313
angles: 90.00 90.00 90.00
Fractional positions:
Sb1 0.000 0.000 0.000
Sb2 0.000 0.500 0.500
Sb3 0.500 0.000 0.500
Sb4 0.500 0.500 0.000
Ru1 0.250 0.250 0.250
Ru2 0.250 0.250 0.750
Ru3 0.250 0.750 0.250
Ru4 0.250 0.750 0.750
Ru5 0.750 0.250 0.250
Ru6 0.750 0.250 0.750
Ru7 0.750 0.750 0.250
Ru8 0.750 0.750 0.750
S1 0.000 0.000 0.500
S2 0.000 0.500 0.000
S3 0.500 0.000 0.000
S4 0.500 0.500 0.500

---

Stability ranking, top and bottom: entry A is the most stable and entry B is the least stable.